Entry from Alexandria via LeMat-Bulk: a geometry-optimized Tb4Bi3As structure (PBE-GGA).

abc: 4.3871 7.6421 7.6421
angles: 109.21 90.00 90.00
With the nearest neighbours (Å) after each atom.
Positions (direct):
As: 0.5000 0.0000 0.0000  6 Tb 3.01-3.02
Tb: 0.0000 0.2342 0.2342  2 As 3.02, 4 Bi 3.12-3.22
Tb: 0.5000 0.7587 0.2413  1 As 3.01, 5 Bi 3.12-3.22
Tb: 0.0000 0.7658 0.7658  2 As 3.02, 4 Bi 3.12-3.22
Tb: 0.5000 0.2413 0.7587  1 As 3.01, 5 Bi 3.12-3.22
Bi: 0.0000 0.0000 0.5000  6 Tb 3.12
Bi: 0.5000 0.5000 0.5000  6 Tb 3.22
Bi: 0.0000 0.5000 0.0000  6 Tb 3.12

Output
Total moment ... 0.00 μB/cell
Formation enthalpy at 0 K ... -1012 meV per atom
Fermi-level density of states ... 1.2 states/eV/cell